1.
VASP calculation (PBE) on a relaxed structure of BeSb2S.

```
data_BeSb2S
_symmetry_space_group_name_H-M 'P 1'
_symmetry_Int_Tables_number 1
_symmetry_space_group_name_Hall 'P 1'
_cell_length_a 7.2859
_cell_length_b 7.2859
_cell_length_c 7.2859
_cell_angle_alpha 132.07
_cell_angle_beta 132.07
_cell_angle_gamma 70.11
loop_
_atom_site_label
_atom_site_fract_x
_atom_site_fract_y
_atom_site_fract_z
Be1 0.0000 0.0000 0.0000
Be2 0.7500 0.2500 0.5000
Sb1 0.0746 0.6250 0.9496
Sb2 0.3750 0.3246 0.4496
Sb3 0.6754 0.1250 0.0504
Sb4 0.8750 0.9254 0.5504
S1 0.2500 0.7500 0.5000
S2 0.5000 0.5000 0.0000
```

=====

2.
VASP calculation (PBE) on a relaxed structure of BeSb2S.

```
data_BeSb2S
_symmetry_space_group_name_H-M 'P 1'
_symmetry_Int_Tables_number 1
_symmetry_space_group_name_Hall 'P 1'
_cell_length_a 4.8323
_cell_length_b 4.8323
_cell_length_c 4.8323
_cell_angle_alpha 60.00
_cell_angle_beta 60.00
_cell_angle_gamma 60.00
loop_
_atom_site_label
_atom_site_fract_x
_atom_site_fract_y
_atom_site_fract_z
Be1 0.0000 0.0000 0.0000
Sb1 0.2500 0.2500 0.2500
Sb2 0.7500 0.7500 0.7500
S1 0.5000 0.5000 0.5000
```

=====

3.
VASP calculation (PBE) on a relaxed structure of BeTl2SbS4.

```
data_BeTl2SbS4
_symmetry_space_group_name_H-M 'P 1'
_symmetry_Int_Tables_number 1
_symmetry_space_group_name_Hall 'P 1'
_cell_length_a 6.2102
_cell_length_b 6.2102
_cell_length_c 6.5210
_cell_angle_alpha 116.95
_cell_angle_beta 116.95
_cell_angle_gamma 83.27
loop_
_atom_site_label
_atom_site_fract_x
_atom_site_fract_y
_atom_site_fract_z
Be1 0.0000 0.0000 0.0000
Tl1 0.5352 0.4648 0.0000
Tl2 0.8033 0.1967 0.5000
Sb1 0.2977 0.7023 0.5000
S1 0.0591 0.3464 0.0325
S2 0.2663 0.0282 0.3701
S3 0.6536 0.9409 0.9675
S4 0.9718 0.7337 0.6299
```

=====

4.
VASP calculation (PBE) on a relaxed structure of YBeSb2S.

```
data_YBeSb2S
_symmetry_space_group_name_H-M 'P 1'
_symmetry_Int_Tables_number 1
_symmetry_space_group_name_Hall 'P 1'
_cell_length_a 5.6143
_cell_length_b 5.6143
_cell_length_c 3.8023
_cell_angle_alpha 90.00
_cell_angle_beta 90.00
_cell_angle_gamma 90.00
loop_
_atom_site_label
_atom_site_fract_x
_atom_site_fract_y
_atom_site_fract_z
Y1 0.0000 0.0000 0.0000
Be1 0.5000 0.5000 0.0000
Sb1 0.0000 0.5000 0.5000
Sb2 0.5000 0.0000 0.5000
S1 0.5000 0.5000 0.5000
```

=====

no.,total moment (μB per formula unit),formation energy without anion corrections (meV per atom),E_tot (eV/atom)
1,0.00,271,-3.75
2,0.00,568,-3.46
3,0.00,-388,-4.02
4,0.00,-39,-4.55